Here is crystalline SrLi2V2 at its relaxed geometry from the Alexandria database. Energies are from PBE.

abc: 5.7335 5.7335 5.7335
angles: 127.32 127.32 77.72
With the nearest neighbours (Å) after each atom.
Fractional coordinates of all 5 atoms:
Sr  0.0000  0.0000  0.0000  8 Li 3.38, 10 V 3.55-3.71
Li  0.2500  0.7500  0.5000  4 V 2.87
Li  0.7500  0.2500  0.5000  4 V 2.87
V  0.3979  0.3979  0.0000  1 V 1.82
V  0.6021  0.6021  0.0000  1 V 1.82

DOS at the Fermi energy, states/eV/cell: 5.9
Polymorph energy (0 for the lowest one), meV per atom: 87
Final energy, eV/atom: -4.06
Total magnetization, μB per formula unit: 0.00

***

Here is crystalline AcInGaAu6 at its relaxed geometry from the Alexandria database. Energies are from PBE.

abc: 8.2566 8.2566 8.2566
angles: 124.36 107.80 97.47
With the nearest neighbours (Å) after each atom.
Fractional coordinates of all 18 atoms:
Ac  0.4687  0.2187  0.2500  10 Au 3.13-3.42, 2 Ga 3.40
Ac  0.5313  0.7813  0.7500  10 Au 3.13-3.42, 2 Ga 3.40
In  0.0000  0.0000  0.5000  6 Au 2.76-2.95
In  0.0000  0.5000  0.0000  6 Au 2.76-2.95
Ga  0.0000  0.0000  0.0000  6 Au 2.55-2.73
Ga  0.5000  0.0000  0.5000  6 Au 2.55-2.73
Au  0.1428  0.4313  0.3215  1 Ga 2.73, 3 Au 2.77-3.01, 1 In 2.95
Au  0.1428  0.8213  0.7115  1 Ga 2.73, 3 Au 2.77-3.01, 1 In 2.95
Au  0.1809  0.9309  0.2500  2 Ga 2.55, 2 In 2.76
Au  0.2220  0.4720  0.7500  2 In 3.09, 8 Au 3.18-3.20, 1 Ac 3.37
Au  0.3902  0.1787  0.8215  1 Ga 2.73, 3 Au 2.77-3.01, 1 In 2.95
Au  0.3902  0.5687  0.2115  1 Ga 2.73, 3 Au 2.77-3.01, 1 In 2.95
Au  0.6098  0.4313  0.7885  1 Ga 2.73, 3 Au 2.77-3.01, 1 In 2.95
Au  0.6098  0.8213  0.1785  1 Ga 2.73, 3 Au 2.77-3.01, 1 In 2.95
Au  0.7780  0.5280  0.2500  2 In 3.09, 8 Au 3.18-3.20, 1 Ac 3.37
Au  0.8191  0.0691  0.7500  2 Ga 2.55, 2 In 2.76
Au  0.8572  0.1787  0.2885  1 Ga 2.73, 3 Au 2.77-3.01, 1 In 2.95
Au  0.8572  0.5687  0.6785  1 Ga 2.73, 3 Au 2.77-3.01, 1 In 2.95

DOS at the Fermi energy, states/eV/cell: 8.2
Final energy, eV/atom: -3.56
Total magnetization, μB per formula unit: 0.00

***

Here is crystalline Ba2Li6Tl3 at its relaxed geometry from the Alexandria database. Energies are from PBE.

abc: 8.3552 8.3552 5.1853
angles: 90.00 90.00 120.00
With the nearest neighbours (Å) after each atom.
Fractional coordinates of all 11 atoms:
Ba  0.3333  0.6667  0.0000  3 Li 3.47, 6 Tl 3.64
Ba  0.6667  0.3333  0.0000  3 Li 3.47, 6 Tl 3.64
Li  0.0000  0.2289  0.5000  3 Tl 2.91-3.09, 4 Li 3.16
Li  0.0000  0.7992  0.0000  6 Li 2.91-3.16, 2 Tl 3.09
Li  0.2008  0.2008  0.0000  6 Li 2.91-3.16, 2 Tl 3.09
Li  0.2289  0.0000  0.5000  3 Tl 2.91-3.09, 4 Li 3.16
Li  0.7711  0.7711  0.5000  3 Tl 2.91-3.09, 4 Li 3.16
Li  0.7992  0.0000  0.0000  6 Li 2.91-3.16, 2 Tl 3.09
Tl  0.0000  0.5991  0.5000  5 Li 2.91-3.09
Tl  0.4009  0.4009  0.5000  5 Li 2.91-3.09
Tl  0.5991  0.0000  0.5000  5 Li 2.91-3.09

DOS at the Fermi energy, states/eV/cell: 7.5
Final energy, eV/atom: -2.20
Total magnetization, μB per formula unit: 0.00

***

Here is crystalline Ba2AcPtO5 at its relaxed geometry from the Alexandria database. Energies are from PBE.

abc: 6.9960 6.9960 6.3752
angles: 90.00 90.00 90.00
With the nearest neighbours (Å) after each atom.
Fractional coordinates of all 18 atoms:
Ba  0.1682  0.3318  0.0000  4 O 2.58-2.60
Ba  0.3318  0.8318  0.0000  4 O 2.58-2.60
Ba  0.6682  0.1682  0.0000  4 O 2.58-2.60
Ba  0.8318  0.6682  0.0000  4 O 2.58-2.60
Ac  0.0000  0.0000  0.5000  10 O 2.96-3.19
Ac  0.5000  0.5000  0.5000  10 O 2.96-3.19
Pt  0.0000  0.5000  0.5000  4 O 2.00
Pt  0.5000  0.0000  0.5000  4 O 2.00
O  0.0000  0.0000  0.0000  4 Ba 2.60
O  0.1519  0.6519  0.2940  1 Pt 2.00
O  0.1519  0.6519  0.7060  1 Pt 2.00
O  0.3481  0.1519  0.2940  1 Pt 2.00
O  0.3481  0.1519  0.7060  1 Pt 2.00
O  0.5000  0.5000  0.0000  4 Ba 2.60
O  0.6519  0.8481  0.2940  1 Pt 2.00
O  0.6519  0.8481  0.7060  1 Pt 2.00
O  0.8481  0.3481  0.2940  1 Pt 2.00
O  0.8481  0.3481  0.7060  1 Pt 2.00

Raw formation energy, kJ/mol of formula units: -1815
DOS at the Fermi energy, states/eV/cell: 15.2
Final energy, eV/atom: -6.40
Total magnetization, μB per formula unit: 1.09

***

Here is crystalline La2BiAu2 at its relaxed geometry from the Alexandria database. Energies are from PBE.

abc: 8.1396 8.1396 4.2165
angles: 90.00 90.00 90.00
With the nearest neighbours (Å) after each atom.
Fractional coordinates of all 10 atoms:
La  0.1741  0.3259  0.0000  6 Au 3.14-3.24
La  0.3259  0.8259  0.0000  6 Au 3.14-3.24
La  0.6741  0.1741  0.0000  6 Au 3.14-3.24
La  0.8259  0.6741  0.0000  6 Au 3.14-3.24
Bi  0.0000  0.0000  0.5000  4 Au 3.22
Bi  0.5000  0.5000  0.5000  4 Au 3.22
Au  0.1236  0.6236  0.5000  1 Au 2.85, 2 La 3.14
Au  0.3764  0.1236  0.5000  1 Au 2.85, 2 La 3.14
Au  0.6236  0.8764  0.5000  1 Au 2.85, 2 La 3.14
Au  0.8764  0.3764  0.5000  1 Au 2.85, 2 La 3.14

DOS at the Fermi energy, states/eV/cell: 5.8
Polymorph energy (0 for the lowest one), meV per atom: 0
Final energy, eV/atom: -4.92
Total magnetization, μB per formula unit: 0.00

***

Here is crystalline Ac3NiHgIr at its relaxed geometry from the Alexandria database. Energies are from PBE.

abc: 9.5212 4.3101 9.6772
angles: 90.00 106.57 90.00
With the nearest neighbours (Å) after each atom.
Fractional coordinates of all 12 atoms:
Ac  0.0045  0.2500  0.2653  1 Ir 2.92, 3 Ni 3.01-3.07
Ac  0.3050  0.7500  0.1205  2 Ir 2.99, 3 Ni 3.25
Ac  0.3518  0.7500  0.5624  3 Ir 2.96-3.01
Ac  0.6482  0.2500  0.4376  3 Ir 2.96-3.01
Ac  0.6950  0.2500  0.8795  2 Ir 2.99, 3 Ni 3.25
Ac  0.9955  0.7500  0.7347  1 Ir 2.92, 3 Ni 3.01-3.07
Ni  0.0514  0.2500  0.9702  2 Ni 2.50
Ni  0.9486  0.7500  0.0298  2 Ni 2.50
Hg  0.2898  0.2500  0.8301  1 Ni 2.96
Hg  0.7102  0.7500  0.1699  1 Ni 2.96
Ir  0.3238  0.2500  0.3394  6 Ac 2.92-3.01
Ir  0.6762  0.7500  0.6606  6 Ac 2.92-3.01

DOS at the Fermi energy, states/eV/cell: 9.9
Final energy, eV/atom: -5.04
Total magnetization, μB per formula unit: 0.00